The following is a PBE with a Hubbard U calculation of a relaxed structure of ThNiIrO6, from Alexandria via LeMat-Bulk.

Values from the calculation:
**Spin magnetization**: 0.5465 μB per atom
**Calculated total energy**: -7.042 eV/atom

Cell lengths 4.9328, 4.9328, 9.7589 Å; angles 90.00, 90.00, 90.00 degrees
Space group P4_2nm (No. 102)
Symmetry-distinct sites (fractional):
Th 0.0000 0.0000 0.0000 [2 per cell]
Ni 0.0000 0.0000 0.3321 [2 per cell]
Ir 0.0000 0.0000 0.6648 [2 per cell]
O 0.1748 0.1748 0.5065 [4 per cell]
O 0.1964 0.1964 0.8071 [4 per cell]
O 0.2192 0.2192 0.1734 [4 per cell]